Compound: MgSc2Tl
Source: Alexandria via LeMat-Bulk
Functional: GGA-PBE
Structure: relaxed

a = 5.7746 Å, b = 5.7746 Å, c = 5.7746 Å
α = 135.51°, β = 135.51°, γ = 64.74°
With the nearest neighbours (Å) after each atom.
Positions (direct):
Mg 0.7500 0.2500 0.5000  8 Sc 3.09-3.28, 4 Tl 3.28
Sc 0.2500 0.7500 0.5000  4 Mg 3.09, 4 Tl 3.28, 4 Sc 3.28
Tl 0.5000 0.5000 0.0000  8 Sc 3.09-3.28, 4 Mg 3.28
Sc 0.0000 0.0000 0.0000  4 Tl 3.09, 4 Sc 3.28, 4 Mg 3.28

Properties
Calculated volume ... 93 Å³/cell
ΔE_f ... -0.098 eV/atom
N(E_F) ... 5.700 states/eV/f.u.
Excess energy over the best structure of this formula in the dataset ... 119 meV per atom
ρ ... 5.674 g/cm3
Spin magnetization ... 0.15 μB/f.u.